Record 1
{
  "formula": "BeNiMo2",
  "functional": "GGA-PBE",
  "state": "optimized geometry",
  "cell": [[-3.277, 3.277, 2.529], [3.277, -3.277, 2.529], [3.277, 3.277, -2.529]],
  "species": ["Be", "Be", "Ni", "Ni", "Mo", "Mo", "Mo", "Mo"],
  "frac_coords": [[0.000, 0.000, 0.000], [0.750, 0.250, 0.500], [0.250, 0.750, 0.500], [0.500, 0.500, 0.000], [0.120, 0.125, 0.495], [0.375, 0.880, 0.005], [0.630, 0.625, 0.505], [0.875, 0.370, 0.995]],
  "e_form_ev_per_fu": 2.0,
  "total_magnetization_mub_per_fu": 0.000,
  "vol_a3_per_cell": 109,
  "e_tot_ev_per_atom": -7.30
}

Record 2
{
  "formula": "BeNiMo",
  "functional": "GGA-PBE",
  "state": "optimized geometry",
  "cell": [[0.000, 2.769, 2.769], [2.769, 0.000, 2.769], [2.769, 2.769, 0.000]],
  "species": ["Be", "Ni", "Mo"],
  "frac_coords": [[0.000, 0.000, 0.000], [0.500, 0.500, 0.500], [0.750, 0.750, 0.750]],
  "e_form_ev_per_fu": 2.2,
  "total_magnetization_mub_per_fu": 0.000,
  "vol_a3_per_cell": 42,
  "e_tot_ev_per_atom": -6.06
}

Record 3
{
  "formula": "BeNiMo",
  "functional": "GGA-PBE",
  "state": "optimized geometry",
  "cell": [[4.304, -1.753, 0.000], [4.304, 1.753, 0.000], [-0.205, 0.000, 4.568]],
  "species": ["Be", "Be", "Ni", "Ni", "Mo", "Mo"],
  "frac_coords": [[0.000, 0.000, 0.000], [0.570, 0.570, 0.238], [0.162, 0.162, 0.460], [0.575, 0.575, 0.756], [0.295, 0.295, 0.985], [0.871, 0.871, 0.485]],
  "e_form_ev_per_fu": -0.3,
  "total_magnetization_mub_per_fu": 0.000,
  "vol_a3_per_cell": 69,
  "e_tot_ev_per_atom": -6.87
}

Record 4
{
  "formula": "BeNiMo",
  "functional": "GGA-PBE",
  "state": "optimized geometry",
  "cell": [[4.022, 0.000, 0.000], [-2.011, 3.483, 0.000], [0.000, 0.000, 5.001]],
  "species": ["Be", "Be", "Ni", "Ni", "Mo", "Mo"],
  "frac_coords": [[0.333, 0.667, 0.250], [0.667, 0.333, 0.750], [0.333, 0.667, 0.750], [0.667, 0.333, 0.250], [0.000, 0.000, 0.000], [0.000, 0.000, 0.500]],
  "e_form_ev_per_fu": -0.2,
  "total_magnetization_mub_per_fu": 0.000,
  "vol_a3_per_cell": 70,
  "e_tot_ev_per_atom": -6.85
}

Record 5
{
  "formula": "BeNiMo",
  "functional": "GGA-PBE",
  "state": "optimized geometry",
  "cell": [[4.286, 0.000, 0.000], [1.323, 4.219, 0.000], [1.949, 0.748, 3.920]],
  "species": ["Be", "Be", "Ni", "Ni", "Mo", "Mo"],
  "frac_coords": [[0.000, 0.000, 0.000], [0.370, 0.898, 0.297], [0.215, 0.530, 0.771], [0.581, 0.409, 0.103], [0.646, 0.962, 0.664], [0.941, 0.445, 0.413]],
  "e_form_ev_per_fu": -0.1,
  "total_magnetization_mub_per_fu": 0.000,
  "vol_a3_per_cell": 71,
  "e_tot_ev_per_atom": -6.80
}

Record 6
{
  "formula": "BeNiMo2P",
  "functional": "GGA-PBE",
  "state": "optimized geometry",
  "cell": [[4.461, 0.000, 0.000], [0.000, 4.461, 0.000], [0.000, 0.000, 3.830]],
  "species": ["Be", "Ni", "Mo", "Mo", "P"],
  "frac_coords": [[0.000, 0.000, 0.000], [0.500, 0.500, 0.000], [0.000, 0.500, 0.500], [0.500, 0.000, 0.500], [0.000, 0.000, 0.500]],
  "e_form_ev_per_fu": 3.5,
  "total_magnetization_mub_per_fu": 0.001,
  "vol_a3_per_cell": 76,
  "e_tot_ev_per_atom": -6.61
}

Record 7
{
  "formula": "Be2NiMoRh",
  "functional": "GGA-PBE",
  "state": "optimized geometry",
  "cell": [[4.185, 0.000, 0.000], [0.000, 4.185, 0.000], [0.000, 0.000, 4.335]],
  "species": ["Be", "Be", "Ni", "Mo", "Rh"],
  "frac_coords": [[0.000, 0.500, 0.000], [0.500, 0.000, 0.000], [0.000, 0.000, 0.500], [0.000, 0.000, 0.000], [0.500, 0.500, 0.500]],
  "e_form_ev_per_fu": 7.0,
  "total_magnetization_mub_per_fu": 0.000,
  "vol_a3_per_cell": 76,
  "e_tot_ev_per_atom": -4.89
}

Record 8
{
  "formula": "BeNiMo2S",
  "functional": "GGA-PBE",
  "state": "optimized geometry",
  "cell": [[4.593, 0.000, 0.000], [0.000, 4.593, 0.000], [0.000, 0.000, 3.706]],
  "species": ["Be", "Ni", "Mo", "Mo", "S"],
  "frac_coords": [[0.000, 0.000, 0.000], [0.000, 0.000, 0.500], [0.000, 0.500, 0.500], [0.500, 0.000, 0.500], [0.500, 0.500, 0.000]],
  "formation_energy_uncorrected_mev_per_atom": 1023,
  "total_magnetization_mub_per_fu": 2.008,
  "vol_a3_per_cell": 78,
  "e_tot_ev_per_atom": -6.04
}

Record 9
{
  "formula": "SrBeNiMo",
  "functional": "GGA-PBE",
  "state": "optimized geometry",
  "cell": [[2.015, 1.163, 5.730], [-2.015, 1.163, 5.730], [0.000, -2.326, 5.730]],
  "species": ["Sr", "Be", "Ni", "Mo"],
  "frac_coords": [[0.000, 0.000, 0.000], [0.193, 0.193, 0.193], [0.514, 0.514, 0.514], [0.813, 0.813, 0.813]],
  "e_form_ev_per_fu": 1.0,
  "total_magnetization_mub_per_fu": 0.000,
  "vol_a3_per_cell": 81,
  "e_tot_ev_per_atom": -5.25
}

Record 10
{
  "formula": "SrBeNiMo",
  "functional": "GGA-PBE",
  "state": "optimized geometry",
  "cell": [[2.914, 0.000, 0.000], [0.000, 2.914, 0.000], [0.000, 0.000, 7.719]],
  "species": ["Sr", "Be", "Ni", "Mo"],
  "frac_coords": [[0.000, 0.000, 0.000], [0.500, 0.500, 0.679], [0.000, 0.000, 0.567], [0.500, 0.500, 0.347]],
  "e_form_ev_per_fu": 1.8,
  "total_magnetization_mub_per_fu": 0.000,
  "vol_a3_per_cell": 66,
  "e_tot_ev_per_atom": -5.05
}

Record 11
{
  "formula": "SrBeNiMo",
  "functional": "GGA-PBE",
  "state": "optimized geometry",
  "cell": [[-1.587, 1.968, 6.113], [1.587, -1.968, 6.113], [1.587, 1.968, -6.113]],
  "species": ["Sr", "Be", "Ni", "Mo"],
  "frac_coords": [[0.000, 0.000, 0.000], [0.775, 0.275, 0.500], [0.653, 0.653, 0.000], [0.265, 0.765, 0.500]],
  "e_form_ev_per_fu": 2.0,
  "total_magnetization_mub_per_fu": 0.000,
  "vol_a3_per_cell": 76,
  "e_tot_ev_per_atom": -5.01
}

Record 12
{
  "formula": "SrBeNiMo",
  "functional": "GGA-PBE",
  "state": "optimized geometry",
  "cell": [[2.064, 1.192, 5.523], [-2.064, 1.192, 5.523], [0.000, -2.383, 5.523]],
  "species": ["Sr", "Be", "Ni", "Mo"],
  "frac_coords": [[0.000, 0.000, 0.000], [0.188, 0.188, 0.188], [0.816, 0.816, 0.816], [0.496, 0.496, 0.496]],
  "e_form_ev_per_fu": 1.0,
  "total_magnetization_mub_per_fu": 0.000,
  "vol_a3_per_cell": 81,
  "e_tot_ev_per_atom": -5.25
}

Record 13
{
  "formula": "SrBeNiMo",
  "functional": "GGA-PBE",
  "state": "optimized geometry",
  "cell": [[2.002, 1.156, 5.787], [-2.002, 1.156, 5.787], [0.000, -2.312, 5.787]],
  "species": ["Sr", "Be", "Ni", "Mo"],
  "frac_coords": [[0.000, 0.000, 0.000], [0.526, 0.526, 0.526], [0.188, 0.188, 0.188], [0.814, 0.814, 0.814]],
  "e_form_ev_per_fu": 0.9,
  "total_magnetization_mub_per_fu": 0.000,
  "vol_a3_per_cell": 80,
  "e_tot_ev_per_atom": -5.27
}

Record 14
{
  "formula": "SrBeNiMo",
  "functional": "GGA-PBE",
  "state": "optimized geometry",
  "cell": [[3.615, 0.000, 0.000], [0.000, 1.764, 5.904], [0.000, -1.764, 5.904]],
  "species": ["Sr", "Be", "Ni", "Mo"],
  "frac_coords": [[0.000, 0.000, 0.000], [0.000, 0.247, 0.247], [0.500, 0.359, 0.359], [0.500, 0.722, 0.722]],
  "e_form_ev_per_fu": 1.9,
  "total_magnetization_mub_per_fu": 0.000,
  "vol_a3_per_cell": 75,
  "e_tot_ev_per_atom": -5.04
}

Record 15
{
  "formula": "SrBeNiMo",
  "functional": "GGA-PBE",
  "state": "optimized geometry",
  "cell": [[2.803, 0.000, 0.000], [-1.397, 4.597, 0.000], [-0.018, -1.510, 5.464]],
  "species": ["Sr", "Be", "Ni", "Mo"],
  "frac_coords": [[0.000, 0.000, 0.000], [0.460, 0.924, 0.501], [0.783, 0.574, 0.293], [0.194, 0.393, 0.597]],
  "e_form_ev_per_fu": 2.2,
  "total_magnetization_mub_per_fu": 0.001,
  "vol_a3_per_cell": 70,
  "e_tot_ev_per_atom": -4.94
}

Record 16
{
  "formula": "SrBeNiMo",
  "functional": "GGA-PBE",
  "state": "optimized geometry",
  "cell": [[3.643, 0.000, 0.000], [0.000, 1.787, 5.834], [0.000, -1.787, 5.834]],
  "species": ["Sr", "Be", "Ni", "Mo"],
  "frac_coords": [[0.000, 0.000, 0.000], [0.500, 0.644, 0.644], [0.000, 0.740, 0.740], [0.500, 0.275, 0.275]],
  "e_form_ev_per_fu": 1.9,
  "total_magnetization_mub_per_fu": 0.000,
  "vol_a3_per_cell": 76,
  "e_tot_ev_per_atom": -5.04
}

Record 17
{
  "formula": "SrBeNiMo",
  "functional": "GGA-PBE",
  "state": "optimized geometry",
  "cell": [[2.971, 0.000, 0.000], [0.000, 3.434, 0.000], [0.000, 0.000, 6.823]],
  "species": ["Sr", "Be", "Ni", "Mo"],
  "frac_coords": [[0.000, 0.000, 0.000], [0.500, 0.500, 0.665], [0.500, 0.500, 0.329], [0.000, 0.000, 0.506]],
  "e_form_ev_per_fu": 1.5,
  "total_magnetization_mub_per_fu": 0.001,
  "vol_a3_per_cell": 70,
  "e_tot_ev_per_atom": -5.14
}

Record 18
{
  "formula": "SrBeNiMo2",
  "functional": "GGA-PBE",
  "state": "optimized geometry",
  "cell": [[4.762, 0.000, 0.000], [0.000, 4.762, 0.000], [0.000, 0.000, 4.458]],
  "species": ["Sr", "Be", "Ni", "Mo", "Mo"],
  "frac_coords": [[0.000, 0.000, 0.000], [0.000, 0.000, 0.500], [0.500, 0.500, 0.500], [0.000, 0.500, 0.000], [0.500, 0.000, 0.000]],
  "e_form_ev_per_fu": 15.2,
  "total_magnetization_mub_per_fu": 0.824,
  "vol_a3_per_cell": 101,
  "e_tot_ev_per_atom": -3.53
}

Record 19
{
  "formula": "Ta2BeNiMo",
  "functional": "GGA-PBE",
  "state": "optimized geometry",
  "cell": [[4.385, 0.000, 0.000], [0.000, 4.385, 0.000], [0.000, 0.000, 4.080]],
  "species": ["Ta", "Ta", "Be", "Ni", "Mo"],
  "frac_coords": [[0.000, 0.500, 0.000], [0.500, 0.000, 0.000], [0.000, 0.000, 0.000], [0.500, 0.500, 0.500], [0.000, 0.000, 0.500]],
  "e_form_ev_per_fu": 3.4,
  "total_magnetization_mub_per_fu": 0.000,
  "vol_a3_per_cell": 78,
  "e_tot_ev_per_atom": -8.13
}

Record 20
{
  "formula": "TiBeNi2Mo",
  "functional": "GGA-PBE",
  "state": "optimized geometry",
  "cell": [[4.268, 0.000, 0.000], [0.000, 4.268, 0.000], [0.000, 0.000, 4.551]],
  "species": ["Ti", "Be", "Ni", "Ni", "Mo"],
  "frac_coords": [[0.000, 0.000, 0.000], [0.500, 0.500, 0.500], [0.000, 0.500, 0.000], [0.500, 0.000, 0.000], [0.000, 0.000, 0.500]],
  "e_form_ev_per_fu": 6.7,
  "total_magnetization_mub_per_fu": 0.000,
  "vol_a3_per_cell": 83,
  "e_tot_ev_per_atom": -5.46
}

Record 21
{
  "formula": "TiBeNi2Mo",
  "functional": "GGA-PBE",
  "state": "optimized geometry",
  "cell": [[4.135, 0.000, 0.000], [0.000, 4.135, 0.000], [0.000, 0.000, 4.297]],
  "species": ["Ti", "Be", "Ni", "Ni", "Mo"],
  "frac_coords": [[0.000, 0.000, 0.000], [0.000, 0.000, 0.500], [0.000, 0.500, 0.000], [0.500, 0.000, 0.000], [0.500, 0.500, 0.500]],
  "e_form_ev_per_fu": 6.0,
  "total_magnetization_mub_per_fu": 0.518,
  "vol_a3_per_cell": 73,
  "e_tot_ev_per_atom": -5.60
}

Record 22
{
  "formula": "BeZn2NiMo",
  "functional": "GGA-PBE",
  "state": "optimized geometry",
  "cell": [[4.800, 0.000, 0.000], [0.000, 4.800, 0.000], [0.000, 0.000, 4.221]],
  "species": ["Be", "Zn", "Zn", "Ni", "Mo"],
  "frac_coords": [[0.000, 0.000, 0.000], [0.000, 0.500, 0.500], [0.500, 0.000, 0.500], [0.500, 0.500, 0.000], [0.000, 0.000, 0.500]],
  "e_form_ev_per_fu": 7.5,
  "total_magnetization_mub_per_fu": 0.642,
  "vol_a3_per_cell": 97,
  "e_tot_ev_per_atom": -3.08
}

Record 23
{
  "formula": "NpBe4Mo",
  "functional": "GGA-PBE",
  "state": "optimized geometry",
  "cell": [[0.000, 3.330, 3.330], [3.330, 0.000, 3.330], [3.330, 3.330, 0.000]],
  "species": ["Np", "Be", "Be", "Be", "Be", "Mo"],
  "frac_coords": [[0.000, 0.000, 0.000], [0.128, 0.624, 0.624], [0.624, 0.128, 0.624], [0.624, 0.624, 0.128], [0.624, 0.624, 0.624], [0.250, 0.250, 0.250]],
  "e_form_ev_per_fu": 1.3,
  "total_magnetization_mub_per_fu": 3.688,
  "vol_a3_per_cell": 74,
  "e_tot_ev_per_atom": -6.24
}

Record 24
{
  "formula": "NpBe17Mo",
  "functional": "GGA-PBE",
  "state": "optimized geometry",
  "cell": [[3.743, 2.161, 3.651], [-3.743, 2.161, 3.651], [0.000, -4.322, 3.651]],
  "species": ["Np", "Be", "Be", "Be", "Be", "Be", "Be", "Be", "Be", "Be", "Be", "Be", "Be", "Be", "Be", "Be", "Be", "Be", "Mo"],
  "frac_coords": [[0.000, 0.000, 0.000], [0.009, 0.009, 0.500], [0.009, 0.500, 0.009], [0.162, 0.660, 0.660], [0.320, 0.320, 0.816], [0.320, 0.816, 0.320], [0.375, 0.657, 0.952], [0.375, 0.952, 0.657], [0.500, 0.009, 0.009], [0.561, 0.561, 0.561], [0.657, 0.375, 0.952], [0.657, 0.952, 0.375], [0.660, 0.162, 0.660], [0.660, 0.660, 0.162], [0.754, 0.754, 0.754], [0.816, 0.320, 0.320], [0.952, 0.375, 0.657], [0.952, 0.657, 0.375], [0.328, 0.328, 0.328]],
  "e_form_ev_per_fu": -0.5,
  "total_magnetization_mub_per_fu": 3.687,
  "vol_a3_per_cell": 177,
  "e_tot_ev_per_atom": -4.61
}